An optimized crystal structure of KZr2Cr, computed with GGA-PBE.

Calculated values
For the density of states at the Fermi level, the calculation gives 5.572 states/eV/f.u. The calculation puts the energy relative to the elements at 2.53 eV/f.u. The calculation puts the magnetic moment at 0.01 μB per formula unit. The excess energy over the best structure of this formula in the dataset comes out at 0.230 eV per atom.

abc: 10.8357 10.8357 10.8357
angles: 17.52 17.52 17.52
Positions (direct):
K  0.0000  0.0000  0.0000
Zr  0.2246  0.2246  0.2246
Zr  0.7754  0.7754  0.7754
Cr  0.5000  0.5000  0.5000

An optimized crystal structure of KZr2Cr, computed with GGA-PBE.

Calculated values
For the density of states at the Fermi level, the calculation gives 7.113 states/eV/f.u. The calculation puts the energy relative to the elements at 4.79 eV/f.u. The calculation puts the magnetic moment at 0.00 μB per formula unit. The excess energy over the best structure of this formula in the dataset comes out at 0.795 eV per atom.

abc: 4.9334 4.9334 4.9334
angles: 60.00 60.00 60.00
Positions (direct):
K  0.0000  0.0000  0.0000
Zr  0.2500  0.2500  0.2500
Zr  0.7500  0.7500  0.7500
Cr  0.5000  0.5000  0.5000

An optimized crystal structure of K4ZrCr, computed with GGA-PBE.

Calculated values
For the density of states at the Fermi level, the calculation gives 11.362 states/eV/f.u. The calculation puts the energy relative to the elements at 7.44 eV/f.u. The calculation puts the magnetic moment at 8.32 μB per formula unit.

abc: 7.2261 7.2261 7.2261
angles: 60.00 60.00 60.00
Positions (direct):
K  0.1252  0.1252  0.1252
K  0.1252  0.1252  0.6244
K  0.1252  0.6244  0.1252
K  0.6244  0.1252  0.1252
Zr  0.7500  0.7500  0.7500
Cr  0.5000  0.5000  0.5000

An optimized crystal structure of LaCr, computed with GGA-PBE.

Calculated values
For the density of states at the Fermi level, the calculation gives 2.398 states/eV/f.u. The calculation puts the energy relative to the elements at 0.96 eV/f.u. The calculation puts the magnetic moment at 0.00 μB per formula unit.

abc: 10.2738 10.2738 4.0010
angles: 90.00 90.00 90.00
Positions (direct):
La  0.0210  0.2235  0.0000
La  0.2235  0.9790  0.0000
La  0.2799  0.6518  0.5000
La  0.3482  0.2799  0.5000
La  0.6518  0.7201  0.5000
La  0.7201  0.3482  0.5000
La  0.7765  0.0210  0.0000
La  0.9790  0.7765  0.0000
Cr  0.0580  0.4094  0.5000
Cr  0.1101  0.5014  0.0000
Cr  0.4094  0.9420  0.5000
Cr  0.4986  0.1101  0.0000
Cr  0.5014  0.8899  0.0000
Cr  0.5906  0.0580  0.5000
Cr  0.8899  0.4986  0.0000
Cr  0.9420  0.5906  0.5000

An optimized crystal structure of La4Cr5, computed with GGA-PBE.

Calculated values
For the density of states at the Fermi level, the calculation gives 7.711 states/eV/f.u. The calculation puts the energy relative to the elements at 5.86 eV/f.u. The calculation puts the magnetic moment at 16.24 μB per formula unit.

abc: 7.1770 7.1770 7.1770
angles: 96.12 96.12 141.88
Positions (direct):
La  0.0000  0.2943  0.2943
La  0.0000  0.7057  0.7057
La  0.2943  0.0000  0.2943
La  0.7057  0.0000  0.7057
Cr  0.0000  0.0000  0.0000
Cr  0.3462  0.3462  0.6924
Cr  0.3462  0.6538  0.0000
Cr  0.6538  0.3462  0.0000
Cr  0.6538  0.6538  0.3076

An optimized crystal structure of LaCr2, computed with GGA-PBE.

Calculated values
For the density of states at the Fermi level, the calculation gives 2.968 states/eV/f.u. The calculation puts the energy relative to the elements at 1.27 eV/f.u. The calculation puts the magnetic moment at 0.12 μB per formula unit.

abc: 10.4159 10.4159 3.9711
angles: 90.00 90.00 163.36
Positions (direct):
La  0.1775  0.8225  0.7500
La  0.8225  0.1775  0.2500
Cr  0.0502  0.9498  0.2500
Cr  0.4517  0.5483  0.2500
Cr  0.5483  0.4517  0.7500
Cr  0.9498  0.0502  0.7500

An optimized crystal structure of La3Cr, computed with GGA-PBE.

Calculated values
For the density of states at the Fermi level, the calculation gives 5.748 states/eV/f.u. The calculation puts the energy relative to the elements at 1.05 eV/f.u. The calculation puts the magnetic moment at 3.18 μB per formula unit.

abc: 3.7580 3.7580 9.0021
angles: 90.00 90.00 90.00
Positions (direct):
La  0.0000  0.0000  0.0000
La  0.5000  0.5000  0.2983
La  0.5000  0.5000  0.7017
Cr  0.0000  0.0000  0.5000

An optimized crystal structure of LaCr, computed with GGA-PBE.

Calculated values
For the density of states at the Fermi level, the calculation gives 2.673 states/eV/f.u. The calculation puts the energy relative to the elements at 0.74 eV/f.u. The calculation puts the magnetic moment at 0.84 μB per formula unit.

abc: 6.1390 6.1390 6.9037
angles: 91.07 91.07 36.15
Positions (direct):
La  0.0000  0.0000  0.0000
La  0.2841  0.2841  0.2712
La  0.7159  0.7159  0.7288
Cr  0.0000  0.0000  0.5000
Cr  0.4294  0.4294  0.6657
Cr  0.5706  0.5706  0.3343